Here is a relaxed structure of Cs2CdIr2 from Alexandria via LeMat-Bulk. Energies are from GGA-PBEsol.

- Formation energy from the elements: 0.546 eV/atom

a = 12.224 Å, b = 12.224 Å, c = 12.224 Å
α = 163.25°, β = 163.25°, γ = 23.78°
Fractional coordinates of all 5 atoms:
Cs: 0.126 0.126 0.000
Cs: 0.874 0.874 0.000
Cd: 0.500 0.500 0.000
Ir: 0.250 0.750 0.500
Ir: 0.750 0.250 0.500



Here is a relaxed structure of Cs3KCd from Alexandria via LeMat-Bulk. Energies are from GGA-PBEsol.

- Formation energy from the elements: 0.362 eV/atom

a = 8.245 Å, b = 8.245 Å, c = 8.245 Å
α = 90.00°, β = 90.00°, γ = 90.00°
Fractional coordinates of all 5 atoms:
Cs: 0.000 0.000 0.500
Cs: 0.000 0.500 0.000
Cs: 0.500 0.000 0.000
K: 0.000 0.000 0.000
Cd: 0.500 0.500 0.500



Here is a relaxed structure of Cs3KCd from Alexandria via LeMat-Bulk. Energies are from GGA-PBEsol.

- Formation energy from the elements: 0.070 eV/atom

a = 7.430 Å, b = 7.430 Å, c = 7.430 Å
α = 90.00°, β = 90.00°, γ = 90.00°
Fractional coordinates of all 5 atoms:
Cs: 0.000 0.000 0.500
Cs: 0.000 0.500 0.000
Cs: 0.500 0.000 0.000
K: 0.500 0.500 0.500
Cd: 0.000 0.000 0.000



Here is a relaxed structure of CsK3Cd from Alexandria via LeMat-Bulk. Energies are from GGA-PBEsol.

- Formation energy from the elements: 0.056 eV/atom

a = 6.916 Å, b = 6.916 Å, c = 6.916 Å
α = 90.00°, β = 90.00°, γ = 90.00°
Fractional coordinates of all 5 atoms:
Cs: 0.000 0.000 0.000
K: 0.000 0.500 0.500
K: 0.500 0.000 0.500
K: 0.500 0.500 0.000
Cd: 0.500 0.500 0.500



Here is a relaxed structure of Cs2K2Cd3O5 from Alexandria via LeMat-Bulk. Energies are from GGA-PBEsol.

- Formation energy from raw total energies: -1.132 eV/atom

a = 6.566 Å, b = 9.193 Å, c = 9.408 Å
α = 65.48°, β = 73.64°, γ = 71.43°
Fractional coordinates of all 24 atoms:
Cs: 0.053 0.077 0.150
Cs: 0.392 0.209 0.748
Cs: 0.608 0.791 0.252
Cs: 0.947 0.923 0.850
K: 0.054 0.451 0.195
K: 0.242 0.071 0.476
K: 0.758 0.929 0.524
K: 0.946 0.549 0.805
Cd: 0.125 0.641 0.406
Cd: 0.402 0.684 0.995
Cd: 0.431 0.670 0.671
Cd: 0.569 0.330 0.329
Cd: 0.598 0.316 0.005
Cd: 0.875 0.359 0.594
O: 0.106 0.755 0.153
O: 0.185 0.783 0.517
O: 0.232 0.376 0.460
O: 0.317 0.496 0.908
O: 0.425 0.870 0.757
O: 0.575 0.130 0.243
O: 0.683 0.504 0.092
O: 0.768 0.624 0.540
O: 0.815 0.217 0.483
O: 0.894 0.245 0.847



Here is a relaxed structure of CsLaCdTe3 from Alexandria via LeMat-Bulk. Energies are from GGA-PBEsol.

- Formation energy from raw total energies: -1.124 eV/atom

a = 8.648 Å, b = 8.648 Å, c = 12.019 Å
α = 90.00°, β = 90.00°, γ = 149.14°
Fractional coordinates of all 12 atoms:
Cs: 0.249 0.751 0.750
Cs: 0.751 0.249 0.250
La: 0.500 0.500 0.000
La: 0.500 0.500 0.500
Cd: 0.036 0.964 0.250
Cd: 0.964 0.036 0.750
Te: 0.128 0.872 0.055
Te: 0.128 0.872 0.445
Te: 0.432 0.568 0.250
Te: 0.568 0.432 0.750
Te: 0.872 0.128 0.555
Te: 0.872 0.128 0.945



Here is a relaxed structure of CsLi3Cd from Alexandria via LeMat-Bulk. Energies are from GGA-PBEsol.

- Formation energy from the elements: 0.096 eV/atom

a = 5.527 Å, b = 5.527 Å, c = 5.527 Å
α = 90.00°, β = 90.00°, γ = 90.00°
Fractional coordinates of all 5 atoms:
Cs: 0.000 0.000 0.000
Li: 0.000 0.500 0.500
Li: 0.500 0.000 0.500
Li: 0.500 0.500 0.000
Cd: 0.500 0.500 0.500



Here is a relaxed structure of CsLuCdTe3 from Alexandria via LeMat-Bulk. Energies are from GGA-PBEsol.

- Formation energy from raw total energies: -1.030 eV/atom

a = 8.667 Å, b = 8.667 Å, c = 11.507 Å
α = 90.00°, β = 90.00°, γ = 150.61°
Fractional coordinates of all 12 atoms:
Cs: 0.248 0.752 0.750
Cs: 0.752 0.248 0.250
Lu: 0.000 0.000 0.000
Lu: 0.000 0.000 0.500
Cd: 0.461 0.539 0.250
Cd: 0.539 0.461 0.750
Te: 0.066 0.934 0.250
Te: 0.378 0.622 0.042
Te: 0.378 0.622 0.458
Te: 0.622 0.378 0.542
Te: 0.622 0.378 0.958
Te: 0.934 0.066 0.750



Here is a relaxed structure of Cs3MgCd from Alexandria via LeMat-Bulk. Energies are from GGA-PBEsol.

- Formation energy from the elements: 0.370 eV/atom

a = 7.435 Å, b = 7.435 Å, c = 7.435 Å
α = 90.00°, β = 90.00°, γ = 90.00°
Fractional coordinates of all 5 atoms:
Cs: 0.000 0.000 0.500
Cs: 0.000 0.500 0.000
Cs: 0.500 0.000 0.000
Mg: 0.000 0.000 0.000
Cd: 0.500 0.500 0.500



Here is a relaxed structure of CsMgCdO2 from Alexandria via LeMat-Bulk. Energies are from GGA-PBEsol.

- Formation energy from raw total energies: 0.471 eV/atom

a = 4.396 Å, b = 4.396 Å, c = 6.375 Å
α = 90.00°, β = 90.00°, γ = 90.00°
Fractional coordinates of all 5 atoms:
Cs: 0.000 0.000 0.000
Mg: 0.500 0.500 0.500
Cd: 0.000 0.000 0.500
O: 0.000 0.500 0.000
O: 0.500 0.000 0.000



Here is a relaxed structure of Cs3MnCd from Alexandria via LeMat-Bulk. Energies are from GGA-PBEsol.

- Formation energy from the elements: 0.821 eV/atom

a = 7.060 Å, b = 7.060 Å, c = 7.060 Å
α = 90.00°, β = 90.00°, γ = 90.00°
Fractional coordinates of all 5 atoms:
Cs: 0.000 0.000 0.500
Cs: 0.000 0.500 0.000
Cs: 0.500 0.000 0.000
Mn: 0.500 0.500 0.500
Cd: 0.000 0.000 0.000



Here is a relaxed structure of CsTa2CdMo from Alexandria via LeMat-Bulk. Energies are from GGA-PBEsol.

- Formation energy from the elements: 1.373 eV/atom

a = 4.866 Å, b = 4.866 Å, c = 5.660 Å
α = 90.00°, β = 90.00°, γ = 90.00°
Fractional coordinates of all 5 atoms:
Cs: 0.000 0.000 0.000
Ta: 0.000 0.500 0.500
Ta: 0.500 0.000 0.500
Cd: 0.500 0.500 0.000
Mo: 0.500 0.500 0.500